VASP calculation (PBE) on an optimized crystal structure of MgCdRe.

Properties
Energy of formation from the pure elements: 517 meV per atom
Energy: -4.4693 eV/atom
DOS at the Fermi energy: 0.670 states/eV per atom

a b c (Å): 2.729 4.426 8.759
angles (deg): 90.00 90.00 90.00
Space group Imm2 (No. 44)
Asymmetric unit:
Mg (0.000, 0.000, 0.000) (multiplicity 2)
Cd (0.000, 0.000, 0.328) (multiplicity 2)
Re (0.000, 0.000, 0.661) (multiplicity 2)

=====

VASP calculation (PBE) on an optimized crystal structure of GdBAs2.

Properties
Energy of formation from the pure elements: 377 meV per atom
Energy: -7.1374 eV/atom
DOS at the Fermi energy: 0.453 states/eV per atom

a b c (Å): 3.2651 3.2651 25.4084
angles (deg): 90.00 90.00 120.00
Space group R-3m (No. 166, hexagonal axes)
Asymmetric unit:
Gd (0.0000, 0.0000, 0.0000) (multiplicity 3)
B (0.0000, 0.0000, 0.5000) (multiplicity 3)
As (0.0000, 0.0000, 0.1163) (multiplicity 6)

=====

VASP calculation (PBE) on an optimized crystal structure of KNdAg2.

Properties
Energy of formation from the pure elements: 8 meV per atom
Energy: -2.8839 eV/atom
DOS at the Fermi energy: 0.912 states/eV per atom

a b c (Å): 5.666 5.666 3.507
angles (deg): 90.00 90.00 90.00
Space group P4/mmm (No. 123)
Asymmetric unit:
K (0.000, 0.000, 0.000) (multiplicity 1)
Nd (0.500, 0.500, 0.000) (multiplicity 1)
Ag (0.000, 0.500, 0.500) (multiplicity 2)

=====

VASP calculation (PBE) on an optimized crystal structure of ZnOsBr2.

Properties
Energy: -3.4382 eV/atom
DOS at the Fermi energy: 0.000 states/eV per atom

a b c (Å): 3.8081 3.8081 30.5216
angles (deg): 90.00 90.00 120.00
Space group R-3m (No. 166, hexagonal axes)
Asymmetric unit:
Zn (0.0000, 0.0000, 0.0000) (multiplicity 3)
Os (0.0000, 0.0000, 0.5000) (multiplicity 3)
Br (0.0000, 0.0000, 0.1249) (multiplicity 6)

=====

VASP calculation (PBE) on an optimized crystal structure of VIn2Se.

Properties
Energy: -4.0342 eV/atom
DOS at the Fermi energy: 1.006 states/eV per atom

a b c (Å): 7.153 7.153 7.153
angles (deg): 90.00 90.00 90.00
Space group Fm-3m (No. 225)
Asymmetric unit:
V (0.000, 0.000, 0.000) (multiplicity 4)
In (0.250, 0.250, 0.250) (multiplicity 8)
Se (0.000, 0.000, 0.500) (multiplicity 4)

=====

VASP calculation (PBE) on an optimized crystal structure of LaV2NiBr.

Properties
Energy: -5.2481 eV/atom
DOS at the Fermi energy: 1.014 states/eV per atom

a b c (Å): 4.538 4.538 5.585
angles (deg): 90.00 90.00 90.00
Space group P4/mmm (No. 123)
Asymmetric unit:
La (0.000, 0.000, 0.000) (multiplicity 1)
V (0.000, 0.500, 0.500) (multiplicity 2)
Ni (0.500, 0.500, 0.000) (multiplicity 1)
Br (0.000, 0.000, 0.500) (multiplicity 1)

=====

VASP calculation (PBE) on an optimized crystal structure of LiAc2Ni12P3.

Properties
Energy of formation from the pure elements: -150 meV per atom
Energy: -5.4683 eV/atom
DOS at the Fermi energy: 0.588 states/eV per atom

a b c (Å): 8.0669 8.0669 15.3508
angles (deg): 90.00 90.00 120.00
Space group R-3m (No. 166, hexagonal axes)
Asymmetric unit:
Li (0.0000, 0.0000, 0.0000) (multiplicity 3)
Ac (0.0000, 0.0000, 0.3717) (multiplicity 6)
Ni (0.0219, 0.5110, 0.6349) (multiplicity 18)
Ni (0.0495, 0.5248, 0.8057) (multiplicity 18)
P (0.0000, 0.5000, 0.5000) (multiplicity 9)

=====

VASP calculation (PBE) on an optimized crystal structure of CaSmSnPb.

Properties
Energy of formation from the pure elements: -505 meV per atom
Energy: -4.1129 eV/atom
DOS at the Fermi energy: 0.908 states/eV per atom

a b c (Å): 7.785 7.785 7.785
angles (deg): 90.00 90.00 90.00
Space group F-43m (No. 216)
Asymmetric unit:
Ca (0.000, 0.000, 0.000) (multiplicity 4)
Sm (0.000, 0.000, 0.500) (multiplicity 4)
Sn (0.250, 0.250, 0.750) (multiplicity 4)
Pb (0.250, 0.250, 0.250) (multiplicity 4)

=====

VASP calculation (PBE) on an optimized crystal structure of PaH8Pd2Ru.

Properties
Energy: -4.6783 eV/atom
DOS at the Fermi energy: 0.180 states/eV per atom

a b c (Å): 5.0711 5.0711 5.3606
angles (deg): 90.00 90.00 120.00
Space group P-3m1 (No. 164)
Asymmetric unit:
Pa (0.0000, 0.0000, 0.0000) (multiplicity 1)
H (0.1783, 0.3567, 0.3623) (multiplicity 6)
H (0.3333, 0.6667, 0.8312) (multiplicity 2)
Pd (0.3333, 0.6667, 0.1346) (multiplicity 2)
Ru (0.0000, 0.0000, 0.5000) (multiplicity 1)

=====

VASP calculation (PBE) on an optimized crystal structure of Nd3Sm8Tl.

Properties
Energy of formation from the pure elements: 456 meV per atom
Energy: -4.0791 eV/atom
DOS at the Fermi energy: 1.557 states/eV per atom

a b c (Å): 8.752 8.752 11.496
angles (deg): 90.00 90.00 90.00
Space group I-42m (No. 121)
Asymmetric unit:
Nd (0.000, 0.000, 0.000) (multiplicity 2)
Nd (0.000, 0.500, 0.250) (multiplicity 4)
Sm (0.126, 0.126, 0.753) (multiplicity 8)
Sm (0.247, 0.247, 0.016) (multiplicity 8)
Tl (0.000, 0.000, 0.500) (multiplicity 2)

=====

VASP calculation (PBE) on an optimized crystal structure of Rb3PaRh2S6.

Properties
Energy: -5.2856 eV/atom
DOS at the Fermi energy: 0.687 states/eV per atom

a b c (Å): 6.516 11.289 7.973
angles (deg): 90.00 105.93 90.00
Space group C2/m (No. 12)
Asymmetric unit:
Rb (0.000, 0.000, 0.000) (multiplicity 2)
Rb (0.000, 0.336, 0.000) (multiplicity 4)
Pa (0.000, 0.500, 0.500) (multiplicity 2)
Rh (0.000, 0.167, 0.500) (multiplicity 4)
S (0.202, 0.000, 0.676) (multiplicity 4)
S (0.238, 0.321, 0.678) (multiplicity 8)

=====

VASP calculation (PBE) on an optimized crystal structure of POs2N.

Properties
Energy: -8.2558 eV/atom
DOS at the Fermi energy: 0.686 states/eV per atom

a b c (Å): 5.704 5.704 5.704
angles (deg): 90.00 90.00 90.00
Space group Fm-3m (No. 225)
Asymmetric unit:
P (0.000, 0.000, 0.000) (multiplicity 4)
Os (0.250, 0.250, 0.250) (multiplicity 8)
N (0.000, 0.000, 0.500) (multiplicity 4)

=====

What did the third record say?
VASP calculation (PBE) on an optimized crystal structure of KNdAg2.

Properties
Energy of formation from the pure elements: 8 meV per atom
Energy: -2.8839 eV/atom
DOS at the Fermi energy: 0.912 states/eV per atom

a b c (Å): 5.666 5.666 3.507
angles (deg): 90.00 90.00 90.00
Space group P4/mmm (No. 123)
Asymmetric unit:
K (0.000, 0.000, 0.000) (multiplicity 1)
Nd (0.500, 0.500, 0.000) (multiplicity 1)
Ag (0.000, 0.500, 0.500) (multiplicity 2)

=====

Which of these has the highest energy? KNdAg2

=====

Which of these has the lowest DOS at the Fermi energy? ZnOsBr2